A plane-wave DFT calculation with GGA-PBE was carried out for a relaxed structure of LuMgCu.

Geometry as POSCAR:
```
LuMgCu
1.0
-1.6511 1.6511 5.6970
1.6511 -1.6511 5.6970
1.6511 1.6511 -5.6970
Lu Mg Cu
1 1 1
direct
0.0000 0.0000 0.0000
0.2838 0.2838 0.0000
0.6476 0.6476 0.0000
```

* M_tot: 0.00 Bohr magnetons per cell
* V: 62 Å³/f.u.
* formation energy: -0.129 eV per atom